# Cd3Rh5 (GGA-PBE, relaxed)
data_Cd3Rh5
_chemical_formula_sum 'Cd12 Rh20'
_cell_length_a 10.300
_cell_length_b 10.300
_cell_length_c 5.108
_cell_angle_alpha 90.00
_cell_angle_beta 90.00
_cell_angle_gamma 90.00
_symmetry_space_group_name_H-M 'I 4/m c m'
_symmetry_Int_Tables_number 140
_symmetry_space_group_name_Hall '-I 4 2c'
loop_
_atom_site_label
_atom_site_fract_x
_atom_site_fract_y
_atom_site_fract_z
_atom_site_occupancy
Cd1 0.000 0.000 0.250 1
Cd2 0.183 0.317 0.000 1
Rh1 0.000 0.500 0.250 1
Rh2 0.063 0.252 0.500 1
# - Total energy: -151.80 eV/cell

=====

# NaSbTe3As (GGA-PBE, relaxed)
data_NaSbTe3As
_chemical_formula_sum 'Na2 Sb2 Te6 As2'
_cell_length_a 8.586
_cell_length_b 4.351
_cell_length_c 10.812
_cell_angle_alpha 90.00
_cell_angle_beta 107.28
_cell_angle_gamma 90.00
_symmetry_space_group_name_H-M 'P 1 21/m 1'
_symmetry_Int_Tables_number 11
_symmetry_space_group_name_Hall '-P 2yb'
loop_
_atom_site_label
_atom_site_fract_x
_atom_site_fract_y
_atom_site_fract_z
_atom_site_occupancy
Na1 0.235 0.250 0.283 1
Sb1 0.375 0.750 0.825 1
Te1 0.102 0.250 0.772 1
Te2 0.360 0.750 0.104 1
Te3 0.366 0.750 0.533 1
As1 0.101 0.250 0.527 1
# - Uncorrected formation energy: -0.24 eV per atom

=====

# ReSi2Au (GGA-PBE, relaxed)
data_ReSi2Au
_chemical_formula_sum 'Re3 Si6 Au3'
_cell_length_a 2.9966
_cell_length_b 2.9966
_cell_length_c 23.5806
_cell_angle_alpha 90.00
_cell_angle_beta 90.00
_cell_angle_gamma 120.00
_symmetry_space_group_name_H-M 'R 3 m'
_symmetry_Int_Tables_number 160
_symmetry_space_group_name_Hall 'R 3 -2"'
loop_
_atom_site_label
_atom_site_fract_x
_atom_site_fract_y
_atom_site_fract_z
_atom_site_occupancy
Re1 0.0000 0.0000 0.0000 1
Si1 0.0000 0.0000 0.2581 1
Si2 0.0000 0.0000 0.5139 1
Au1 0.0000 0.0000 0.7654 1
# - Uncorrected formation energy: 0.25 eV per atom

=====

Record order is preserved below.
Mass density: 10.4; 5.2; 11.9 Mg/m³
Record order is preserved below.
Spin magnetization: 11.84; 0.00; 0.00 Bohr magnetons per cell